Below is an optimized crystal structure of Y2MgMn, with properties calculated at the GGA-PBEsol level.

Crystal system = tetragonal
Energy of formation = 213.4 meV per atom
V = 23.8 A^3/atom

Unit cell a=3.402 b=3.402 c=8.215 alpha=90.00 beta=90.00 gamma=90.00
Sites, in units of the cell vectors:
Y 0.000 0.000 0.000
Y 0.500 0.500 0.326
Mg 0.000 0.000 0.602
Mn 0.500 0.500 0.782